DFT (PBE with a Hubbard U) results for a geometry-optimized Ac2SmVO6 structure.

**Magnetic moment**: 2.0 μB per formula unit
**SG**: No. 14
**Energy**: -8.054 eV per atom

abc: 5.907 6.046 8.499
angles: 90.00 89.29 90.00
Each line ends with the local moment (μB).
Fractional positions:
O: 0.688 0.282 0.944  -0.01
Ac: 0.487 0.453 0.249  0.01
O: 0.188 0.218 0.444  -0.01
O: 0.812 0.782 0.556  -0.01
Sm: 0.000 0.500 0.000  0.01
Ac: 0.513 0.547 0.751  0.01
O: 0.601 0.036 0.237  0.00
V: 0.500 0.000 0.000  1.88
O: 0.781 0.808 0.948  -0.01
Ac: 0.987 0.047 0.749  0.01
O: 0.399 0.964 0.763  0.00
O: 0.899 0.536 0.263  0.00
O: 0.281 0.692 0.448  -0.01
Ac: 0.013 0.953 0.251  0.01
O: 0.101 0.464 0.737  0.00
V: 0.000 0.500 0.500  1.88
Sm: 0.500 0.000 0.500  0.01
O: 0.219 0.192 0.052  -0.01
O: 0.719 0.308 0.552  -0.01
O: 0.312 0.718 0.056  -0.01